No. 1
This record from Alexandria describes a relaxed structure of PrPuPb. The functional is GGA-PBE.

- E above lowest polymorph (meV per atom) = 0
- calculated volume (Å³ per cell) = 181.4
- E_tot (eV/atom) = -7.9056

abc: 5.6656 5.6656 6.5257
angles: 90.00 90.00 120.00
Space group P6_3/mmc (No. 194)
One atom of each set of equivalent atoms:
Pr1 0.3333 0.6667 0.2500
Pu1 0.0000 0.0000 0.0000
Pb1 0.3333 0.6667 0.7500

---

No. 2
This record from Alexandria describes a relaxed structure of Ce2Dy2Ge2C. The functional is GGA-PBE.

- calculated volume (Å³ per cell) = 349.9
- E_tot (eV/atom) = -6.2128

abc: 4.742 4.742 15.561
angles: 90.00 90.00 90.00
Space group I4/mmm (No. 139)
One atom of each set of equivalent atoms:
Ce1 0.000 0.000 0.167
Dy1 0.000 0.500 0.000
Ge1 0.000 0.000 0.366
C1 0.000 0.000 0.000

---

No. 3
This record from Alexandria describes a relaxed structure of Pr6Co2AgBr3. The functional is GGA-PBE.

- calculated volume (Å³ per cell) = 704.2
- uncorrected formation energy (eV per atom) = -0.692
- E_tot (eV/atom) = -4.9217

abc: 19.626 4.132 9.258
angles: 90.00 110.32 90.00
Space group C2/m (No. 12)
One atom of each set of equivalent atoms:
Pr1 0.025 0.000 0.254
Pr2 0.165 0.500 0.132
Pr3 0.183 0.500 0.557
Co1 0.168 0.000 0.338
Ag1 0.000 0.500 0.000
Br1 0.000 0.500 0.500
Br2 0.165 0.000 0.835

---

No. 4
This record from Alexandria describes a relaxed structure of BaNb2CdSi. The functional is GGA-PBE.

- calculated volume (Å³ per cell) = 141.8
- uncorrected formation energy (eV per atom) = 0.749
- E_tot (eV/atom) = -4.9309

abc: 4.896 4.896 5.917
angles: 90.00 90.00 90.00
Space group P4/mmm (No. 123)
One atom of each set of equivalent atoms:
Ba1 0.000 0.000 0.000
Nb1 0.000 0.500 0.500
Cd1 0.500 0.500 0.000
Si1 0.000 0.000 0.500

---

No. 5
This record from Alexandria describes a relaxed structure of CeAuBr. The functional is GGA-PBE.

- calculated volume (Å³ per cell) = 410.3
- uncorrected formation energy (eV per atom) = -1.057
- E_tot (eV/atom) = -4.6848

abc: 4.666 8.285 10.865
angles: 90.00 102.35 90.00
Space group C2/m (No. 12)
One atom of each set of equivalent atoms:
Ce1 0.080 0.000 0.161
Au1 0.000 0.334 0.000
Br1 0.169 0.500 0.339

---

No. 6
This record from Alexandria describes a relaxed structure of CsThS2Cl. The functional is GGA-PBE.

- calculated volume (Å³ per cell) = 366.4
- uncorrected formation energy (eV per atom) = -1.935
- E_tot (eV/atom) = -5.6104

abc: 9.316 4.227 9.664
angles: 90.00 105.68 90.00
Space group P2_1/m (No. 11)
One atom of each set of equivalent atoms:
Cs1 0.190 0.250 0.257
Th1 0.329 0.750 0.842
S1 0.146 0.250 0.859
S2 0.461 0.750 0.141
Cl1 0.280 0.750 0.553

---

No. 7
This record from Alexandria describes a relaxed structure of PrErSc2. The functional is GGA-PBE.

- E above lowest polymorph (meV per atom) = 0
- calculated volume (Å³ per cell) = 228.8
- E_tot (eV/atom) = -5.4461

abc: 5.821 6.784 6.791
angles: 62.33 76.74 76.63
Space group P-1 (No. 2)
One atom of each set of equivalent atoms:
Pr1 0.250 0.128 0.128
Er1 0.252 0.624 0.623
Sc1 0.250 0.127 0.624
Sc2 0.250 0.625 0.127

---

No. 8
This record from Alexandria describes a relaxed structure of Pm2NdLu. The functional is GGA-PBE.

- E above lowest polymorph (meV per atom) = 0
- calculated volume (Å³ per cell) = 132.7
- E_tot (eV/atom) = -4.6819

abc: 5.097 5.097 5.109
angles: 90.00 90.00 90.00
Space group P4/mmm (No. 123)
One atom of each set of equivalent atoms:
Pm1 0.000 0.500 0.000
Nd1 0.000 0.000 0.500
Lu1 0.500 0.500 0.500